Density functional theory data (PBE with a Hubbard U) for an optimized crystal structure of CrSiP2O.

Computed properties:
* SG: P4/mmm
* raw total energy: -5.514 eV/atom
* energy above the lowest structure with this stoichiometry: 0 meV per atom

Lattice parameters (Å, degrees): 4.8153 4.8153 3.2191 90.00 90.00 90.00
With the nearest neighbours (Å) after each atom.
Fractional positions:
1 Cr 0.5000 0.5000 0.5000  8 P 2.90, 2 Cr 3.22
2 Si 0.0000 0.0000 0.0000  2 O 1.61
3 O 0.0000 0.0000 0.5000  2 Si 1.61
4 P 0.0000 0.5000 0.0000  2 Si 2.41
5 P 0.5000 0.0000 0.0000  2 Si 2.41